DFT (PBE-GGA) results for a geometry-optimized ZrFeAg2 structure. Values from VASP.

Its volume is 17.56 Å³/atom. The calculation puts the offset from the most stable computed form at 168 meV/atom. As for the space-group type: Cmmm, No. 65. As for the formation energy: 0.2787 eV per atom. The crystal system is orthorhombic.

Geometry as Quantum ESPRESSO input:
```
&SYSTEM
  ibrav = 0, nat = 4, ntyp = 3
/
ATOMIC_SPECIES
Ag 107.87 Ag.upf
Fe 55.84 Fe.upf
Zr 91.22 Zr.upf
CELL_PARAMETERS angstrom
5.191 -0.018 0.000
-2.213 4.696 0.000
0.000 0.000 2.886
ATOMIC_POSITIONS crystal
Ag 0.000 0.000 0.000
Ag 0.500 0.500 0.000
Fe 0.500 0.000 0.500
Zr 0.000 0.500 0.500
```



DFT (PBE-GGA) results for a geometry-optimized ZrFeAg2 structure. Values from VASP.

Its volume is 17.02 Å³/atom. The calculation puts the offset from the most stable computed form at 21 meV/atom. As for the space-group type: I4/mmm, No. 139. As for the formation energy: 0.1317 eV per atom. The crystal system is tetragonal.

Geometry as Quantum ESPRESSO input:
```
&SYSTEM
  ibrav = 0, nat = 4, ntyp = 3
/
ATOMIC_SPECIES
Ag 107.87 Ag.upf
Fe 55.84 Fe.upf
Zr 91.22 Zr.upf
CELL_PARAMETERS angstrom
-0.804 1.900 4.880
-0.171 -3.470 4.000
3.192 1.048 -4.097
ATOMIC_POSITIONS crystal
Ag 0.000 0.000 0.000
Ag 0.500 0.500 0.000
Fe 0.250 0.750 0.500
Zr 0.750 0.250 0.500
```



DFT (PBE-GGA) results for a geometry-optimized ZrFeAg2 structure. Values from VASP.

Its volume is 17.63 Å³/atom. The calculation puts the offset from the most stable computed form at 0 meV/atom. As for the space-group type: Pmm2, No. 25. As for the formation energy: 0.1103 eV per atom. The crystal system is orthorhombic.

Geometry as Quantum ESPRESSO input:
```
&SYSTEM
  ibrav = 0, nat = 4, ntyp = 3
/
ATOMIC_SPECIES
Ag 107.87 Ag.upf
Fe 55.84 Fe.upf
Zr 91.22 Zr.upf
CELL_PARAMETERS angstrom
3.313 0.000 0.000
0.000 3.382 0.006
0.000 3.370 6.302
ATOMIC_POSITIONS crystal
Ag 0.000 0.988 0.012
Ag 0.500 0.240 0.260
Fe 0.000 0.493 0.507
Zr 0.500 0.779 0.721
```



DFT (PBE-GGA) results for a geometry-optimized Zr2FeAg structure. Values from VASP.

Its volume is 19.43 Å³/atom. The calculation puts the offset from the most stable computed form at 356 meV/atom. As for the space-group type: R3m, No. 160. As for the formation energy: 0.2497 eV per atom. The crystal system is trigonal.

Geometry as Quantum ESPRESSO input:
```
&SYSTEM
  ibrav = 0, nat = 4, ntyp = 3
/
ATOMIC_SPECIES
Ag 107.87 Ag.upf
Fe 55.84 Fe.upf
Zr 91.22 Zr.upf
CELL_PARAMETERS angstrom
9.275 -0.017 -0.010
8.748 3.080 -0.010
8.748 1.487 2.697
ATOMIC_POSITIONS crystal
Ag 0.492 0.492 0.492
Fe 0.749 0.749 0.749
Zr 0.011 0.011 0.011
Zr 0.248 0.248 0.248
```



DFT (PBE-GGA) results for a geometry-optimized ZrFeAg3 structure. Values from VASP.

Its volume is 28.11 Å³/atom. The calculation puts the offset from the most stable computed form at 567 meV/atom. As for the space-group type: Pm-3m, No. 221. As for the formation energy: 1.6576 eV per atom. The crystal system is cubic.

Geometry as Quantum ESPRESSO input:
```
&SYSTEM
  ibrav = 0, nat = 5, ntyp = 3
/
ATOMIC_SPECIES
Zr 91.22 Zr.upf
Ag 107.87 Ag.upf
Fe 55.84 Fe.upf
CELL_PARAMETERS angstrom
5.199 0.000 0.000
0.000 5.199 0.000
0.000 0.000 5.199
ATOMIC_POSITIONS crystal
Zr 0.000 0.000 0.000
Ag 0.000 0.500 0.000
Ag 0.000 0.000 0.500
Ag 0.500 0.000 0.000
Fe 0.500 0.500 0.500
```



DFT (PBE-GGA) results for a geometry-optimized ZrFe2Ag structure. Values from VASP.

Its volume is 16.16 Å³/atom. The calculation puts the offset from the most stable computed form at 227 meV/atom. As for the space-group type: P4/mmm, No. 123. As for the formation energy: 0.3142 eV per atom. The crystal system is tetragonal.

Geometry as Quantum ESPRESSO input:
```
&SYSTEM
  ibrav = 0, nat = 4, ntyp = 3
/
ATOMIC_SPECIES
Ag 107.87 Ag.upf
Fe 55.84 Fe.upf
Zr 91.22 Zr.upf
CELL_PARAMETERS angstrom
-0.406 -0.621 -2.716
-2.630 -0.821 0.578
-2.665 7.590 -1.338
ATOMIC_POSITIONS crystal
Ag 0.500 0.500 0.750
Fe 0.000 0.000 0.990
Fe 0.000 0.000 0.510
Zr 0.500 0.500 0.250
```